*i*
TlRe2Br | PBE | optimized geometry

The space group is Pm (No. 6) and the conventional cell measures 3.1404, 3.0653 and 8.9701 Å, with angles of 90.00, 99.91 and 90.00 degrees. The distinct sites, in fractional coordinates, are Tl at (0.0000, 0.0000, 0.0000), Re at (0.2028, 0.0000, 0.4137), Re at (0.6263, 0.5000, 0.2583) and Br at (0.3204, 0.5000, 0.6532).

---

*ii*
TlRe2Br | PBE | optimized geometry

The space group is C2/m (No. 12) and the conventional cell measures 9.1597, 2.9858 and 5.8226 Å, with angles of 90.00, 105.21 and 90.00 degrees. The distinct sites, in fractional coordinates, are Tl at (0.0000, 0.0000, 0.0000), Re at (0.2438, 0.5000, 0.3122) and Br at (0.0000, 0.5000, 0.5000).

---

Short version: *i*, *ii*, most stable first.

---

*i*
TlRe2Br | PBE | optimized geometry

The space group is R3m (No. 160, hexagonal axes) and the conventional cell measures 3.0223, 3.0223 and 31.0681 Å, with angles of 90.00, 90.00 and 120.00 degrees. The distinct sites, in fractional coordinates, are Tl at (0.0000, 0.0000, 0.0000), Re at (0.0000, 0.0000, 0.2501), Re at (0.0000, 0.0000, 0.5195) and Br at (0.0000, 0.0000, 0.7869).

---

*ii*
TlRe2Br | PBE | optimized geometry

The space group is Cmmm (No. 65) and the conventional cell measures 2.8992, 5.3162 and 9.5728 Å, with angles of 90.00, 90.00 and 90.00 degrees. The distinct sites, in fractional coordinates, are Tl at (0.0000, 0.0000, 0.0000), Re at (0.0000, 0.5000, 0.2581) and Br at (0.0000, 0.0000, 0.5000).

---

Short version: *i*, *ii*, most stable first.